# 1
DFT (PBEsol) results for K2VOF4 after structural relaxation.

## Properties
Its space-group type is Pna2_1 (33). The value obtained for the total magnetization is 4.000 μB/cell.

Cell: 5.656 7.337 11.385 Å, 90.00 90.00 90.00°
Each line ends with the local moment (μB).
Sites, in units of the cell vectors:
K  0.255  0.673  0.088  0.00
F  0.282  0.529  0.303  0.01
O  0.030  0.819  0.383  -0.08
F  0.038  0.496  0.499  0.01
V  0.738  0.313  0.568  0.99
F  0.782  0.971  0.803  0.01
K  0.253  0.483  0.721  0.00
K  0.753  0.517  0.279  0.00
K  0.755  0.827  0.588  0.00
F  0.272  0.279  0.910  0.01
K  0.255  0.173  0.412  0.00
K  0.753  0.017  0.221  0.00
F  0.282  0.029  0.197  0.01
F  0.009  0.679  0.887  0.01
K  0.253  0.983  0.779  0.00
F  0.538  0.004  0.999  0.01
O  0.530  0.681  0.883  -0.08
O  0.030  0.319  0.117  -0.08
O  0.530  0.181  0.617  -0.08
K  0.755  0.327  0.912  0.00
F  0.782  0.471  0.697  0.01
F  0.009  0.179  0.613  0.01
V  0.738  0.813  0.932  0.99
V  0.238  0.187  0.068  0.99
F  0.509  0.321  0.113  0.01
F  0.038  0.996  0.001  0.01
V  0.238  0.687  0.432  0.99
F  0.538  0.504  0.501  0.01
F  0.772  0.721  0.090  0.01
F  0.772  0.221  0.410  0.01
F  0.272  0.779  0.590  0.01
F  0.509  0.821  0.387  0.01

=====

# 2
DFT (PBEsol) results for ZnAg4P after structural relaxation.

## Properties
Its space-group type is F-43m (216). For the formation energy from the elements, the calculation gives 0.395 eV per atom. The value obtained for the total magnetization is 0.000 μB/cell.

Cell: 5.311 5.311 5.311 Å, 60.00 60.00 60.00°
Sites, in units of the cell vectors:
Ag  0.375  0.375  0.375
Ag  0.875  0.375  0.375
P  0.750  0.750  0.750
Ag  0.375  0.875  0.375
Ag  0.375  0.375  0.875
Zn  0.000  0.000  0.000

=====

# 3
DFT (PBEsol) results for MgPRh2 after structural relaxation.

## Properties
Its space-group type is P4/mmm (123). For the formation energy from the elements, the calculation gives -0.566 eV per atom. The value obtained for the total magnetization is 0.000 μB/cell.

Cell: 2.854 2.854 6.819 Å, 90.00 90.00 90.00°
Sites, in units of the cell vectors:
Mg  0.500  0.500  0.000
Rh  0.000  0.000  0.296
P  0.500  0.500  0.500
Rh  0.000  0.000  0.704

=====

# 4
DFT (PBEsol) results for Tl2HgRh after structural relaxation.

## Properties
Its space-group type is Imm2 (44). For the formation energy from the elements, the calculation gives 0.064 eV per atom. The value obtained for the total magnetization is 0.000 μB/cell.

Cell: 3.059 4.556 7.029 Å, 108.91 102.57 90.00°
Sites, in units of the cell vectors:
Hg  0.565  0.065  0.129
Rh  0.249  0.249  0.499
Tl  0.747  0.747  0.493
Tl  0.939  0.439  0.879

=====

# 5
DFT (PBEsol) results for MgZn2W after structural relaxation.

## Properties
Its space-group type is Cmm2 (35). For the formation energy from the elements, the calculation gives 0.203 eV per atom. The value obtained for the total magnetization is 0.000 μB/cell.

Cell: 2.707 2.707 8.633 Å, 90.00 90.00 102.05°
Sites, in units of the cell vectors:
W  0.500  0.500  0.238
Zn  0.500  0.500  0.763
Mg  0.000  0.000  0.502
Zn  0.000  0.000  0.997

=====

# 6
DFT (PBEsol) results for Zn2SiRh2 after structural relaxation.

## Properties
Its space-group type is P4/mbm (127). The value obtained for the total magnetization is 0.000 μB/cell.

Cell: 3.929 6.030 6.030 Å, 90.00 90.00 90.00°
Sites, in units of the cell vectors:
Si  0.000  0.500  0.500
Rh  0.000  0.844  0.656
Zn  0.500  0.849  0.349
Rh  0.000  0.156  0.344
Rh  0.000  0.344  0.844
Zn  0.500  0.349  0.151
Zn  0.500  0.151  0.651
Zn  0.500  0.651  0.849
Rh  0.000  0.656  0.156
Si  0.000  0.000  0.000

=====

# 7
DFT (PBEsol) results for Mg2CdPt after structural relaxation.

## Properties
Its space-group type is P4/mmm (123). For the formation energy from the elements, the calculation gives -0.452 eV per atom. The value obtained for the total magnetization is 0.000 μB/cell.

Cell: 3.744 4.313 4.313 Å, 90.00 90.00 90.00°
Sites, in units of the cell vectors:
Pt  0.500  0.500  0.500
Cd  0.500  0.000  0.000
Mg  0.000  0.000  0.500
Mg  0.000  0.500  0.000

=====

# 8
DFT (PBEsol) results for Tl3ZnW after structural relaxation.

## Properties
Its space-group type is Pm-3m (221). For the formation energy from the elements, the calculation gives 0.987 eV per atom. The value obtained for the total magnetization is 0.004 μB/cell.

Cell: 5.328 5.328 5.328 Å, 90.00 90.00 90.00°
Sites, in units of the cell vectors:
Zn  0.500  0.500  0.500
W  0.000  0.000  0.000
Tl  0.500  0.000  0.000
Tl  0.000  0.500  0.000
Tl  0.000  0.000  0.500

=====

Electronic total energy: -5.930; -3.042; -6.512; -3.428; -4.469; -5.513; -3.351; -3.669 (eV/atom)